[1]
Material: CdAsW3
Method: DFT, PBE-GGA
State: optimized geometry

Summary:
Polymorph energy (0 for the lowest one) (eV/atom): 1.553
E_form (eV per atom): 3.09
Raw total energy (eV/cell): -29.0
Spin magnetization (μB per cell): 0.00

a b c (Å): 4.8656 4.8656 4.8656
angles (deg): 90.00 90.00 90.00
Atoms (fractional coordinates):
W  0.5000  0.0000  0.0000
W  0.0000  0.5000  0.0000
W  0.0000  0.0000  0.5000
As  0.5000  0.5000  0.5000
Cd  0.0000  0.0000  0.0000

---

[2]
Material: CdAs2W
Method: DFT, PBE-GGA
State: optimized geometry

Summary:
E_form (eV per atom): 0.23
Raw total energy (eV/cell): -22.3
Spin magnetization (μB per cell): 0.00

a b c (Å): 7.2983 7.2983 3.5724
angles (deg): 75.87 75.87 25.76
Atoms (fractional coordinates):
W  0.7073  0.7073  0.7935
As  0.2803  0.2803  0.2206
As  0.0671  0.0671  0.9322
Cd  0.4453  0.4453  0.5538